(1)
## NpSbTe2O (PBE)

Data for a relaxed NpSbTe2O crystal.

Output
For the raw total energy, the calculation gives -6.77 eV per atom. The space group is P4/nmm, No. 129. Its uncorrected formation energy is -1.108 eV/atom. The density of states at the Fermi level comes out at 8.58 states/eV/f.u.

Unit cell a=3.8980 b=3.8980 c=19.6816 alpha=90.00 beta=90.00 gamma=90.00
Last column: magnetic moment on the atom in μB.
Positions (direct):
Np (0.5000, 0.0000, 0.5623)  3.41
Np (0.0000, 0.5000, 0.4377)  3.41
Sb (0.5000, 0.0000, 0.1584)  -0.01
Sb (0.0000, 0.5000, 0.8416)  -0.01
Te (0.0000, 0.5000, 0.6497)  -0.18
Te (0.0000, 0.5000, 0.0937)  0.00
Te (0.5000, 0.0000, 0.9063)  0.00
Te (0.5000, 0.0000, 0.3503)  -0.18
O (0.0000, 0.0000, 0.5000)  -0.12
O (0.5000, 0.5000, 0.5000)  -0.12

(2)
## NpTlSbO6 (PBE)

Data for a relaxed NpTlSbO6 crystal.

Output
For the raw total energy, the calculation gives -7.38 eV per atom. The space group is Imma, No. 74. Its uncorrected formation energy is -1.915 eV/atom. The density of states at the Fermi level comes out at 2.58 states/eV/f.u.

Unit cell a=7.4019 b=7.8968 c=7.6555 alpha=121.05 beta=118.91 gamma=90.00
Last column: magnetic moment on the atom in μB.
Positions (direct):
Np (0.5000, 0.5000, 0.0000)  1.22
Np (0.5000, 0.0000, 0.0000)  1.22
Tl (0.9301, 0.6801, 0.8603)  0.00
Tl (0.0699, 0.3199, 0.1397)  0.00
Sb (0.5000, 0.0000, 0.5000)  0.00
Sb (0.0000, 0.0000, 0.5000)  0.00
O (0.4357, 0.6857, 0.8713)  -0.06
O (0.8202, 0.0702, 0.6405)  -0.01
O (0.8206, 0.0555, 0.2490)  -0.04
O (0.4285, 0.6936, 0.2490)  -0.04
O (0.4285, 0.0555, 0.2490)  -0.04
O (0.8206, 0.6936, 0.2490)  -0.04
O (0.5643, 0.3143, 0.1287)  -0.06
O (0.1798, 0.9298, 0.3595)  -0.01
O (0.1794, 0.9445, 0.7510)  -0.04
O (0.5715, 0.3064, 0.7510)  -0.04
O (0.5715, 0.9445, 0.7510)  -0.04
O (0.1794, 0.3064, 0.7510)  -0.04

(3)
## NpTlSb2O8 (PBE)

Data for a relaxed NpTlSb2O8 crystal.

Output
For the raw total energy, the calculation gives -6.87 eV per atom. The space group is Cmmm, No. 65. Its uncorrected formation energy is -1.604 eV/atom. The density of states at the Fermi level comes out at 4.75 states/eV/f.u.

Unit cell a=5.0716 b=5.0708 c=6.7781 alpha=90.00 beta=90.00 gamma=89.57
Last column: magnetic moment on the atom in μB.
Positions (direct):
Np (0.0000, 0.0000, 0.0000)  2.33
Tl (0.0000, 0.0000, 0.5000)  0.04
Sb (0.5000, 0.5000, 0.7512)  0.02
Sb (0.5000, 0.5000, 0.2488)  0.02
O (0.2062, 0.7933, 0.2246)  -0.05
O (0.6849, 0.6853, 0.0000)  -0.02
O (0.7937, 0.2066, 0.2246)  -0.05
O (0.7938, 0.2067, 0.7754)  -0.05
O (0.3151, 0.3147, 0.0000)  -0.02
O (0.2063, 0.7934, 0.7754)  -0.05
O (0.6790, 0.6794, 0.5000)  0.03
O (0.3210, 0.3206, 0.5000)  0.03

(4)
## TmNpSbO6 (PBE)

Data for a relaxed TmNpSbO6 crystal.

Output
For the raw total energy, the calculation gives -8.22 eV per atom. The space group is P-31c, No. 163. Its uncorrected formation energy is -2.518 eV/atom. The density of states at the Fermi level comes out at 0.39 states/eV/f.u.

Unit cell a=5.7120 b=5.7120 c=9.3717 alpha=90.00 beta=90.00 gamma=120.00
Last column: magnetic moment on the atom in μB.
Positions (direct):
Tm (0.3333, 0.6667, 0.2500)  0.00
Tm (0.6667, 0.3333, 0.7500)  0.00
Np (0.6667, 0.3333, 0.2500)  1.23
Np (0.3333, 0.6667, 0.7500)  1.23
Sb (0.0000, 0.0000, 0.0000)  -0.01
Sb (0.0000, 0.0000, 0.5000)  -0.01
O (0.6640, 0.6433, 0.1334)  -0.04
O (0.9792, 0.3359, 0.1334)  -0.04
O (0.3360, 0.9792, 0.6334)  -0.04
O (0.0208, 0.6641, 0.8666)  -0.04
O (0.3567, 0.3359, 0.3666)  -0.04
O (0.9792, 0.6433, 0.3666)  -0.04
O (0.6433, 0.9792, 0.8666)  -0.04
O (0.6640, 0.0208, 0.3666)  -0.04
O (0.0208, 0.3567, 0.6334)  -0.04
O (0.3567, 0.0208, 0.1334)  -0.04
O (0.6433, 0.6641, 0.6334)  -0.04
O (0.3360, 0.3567, 0.8666)  -0.04

(5)
## NpScO5 (PBE)

Data for a relaxed NpScO5 crystal.

Output
For the raw total energy, the calculation gives -8.97 eV per atom. The space group is Immm, No. 71. Its uncorrected formation energy is -2.680 eV/atom. The density of states at the Fermi level comes out at 2.00 states/eV/f.u.

Unit cell a=3.7763 b=5.6356 c=5.6356 alpha=72.83 beta=70.42 gamma=70.42
Last column: magnetic moment on the atom in μB.
Positions (direct):
Np (0.5000, 0.5000, 0.5000)  -0.27
Sc (0.0000, 0.0000, 0.0000)  0.01
O (0.7214, 0.2786, 0.2786)  0.01
O (0.0000, 0.3196, 0.6804)  0.03
O (0.5000, 0.0000, 0.0000)  0.13
O (0.0000, 0.6804, 0.3196)  0.03
O (0.2786, 0.7214, 0.7214)  0.01

(6)
## Np3Sc5O12 (PBE)

Data for a relaxed Np3Sc5O12 crystal.

Output
For the raw total energy, the calculation gives -9.63 eV per atom. The space group is Ia-3d, No. 230. Its uncorrected formation energy is -3.132 eV/atom. The density of states at the Fermi level comes out at 28.79 states/eV/f.u.

Unit cell a=11.2669 b=11.2669 c=11.2669 alpha=109.47 beta=109.47 gamma=109.47
Last column: magnetic moment on the atom in μB.
Positions (direct):
Np (0.7500, 0.3750, 0.1250)  3.81
Np (0.8750, 0.7500, 0.1250)  3.81
Np (0.3750, 0.7500, 0.6250)  3.81
Np (0.2500, 0.1250, 0.3750)  3.81
Np (0.8750, 0.1250, 0.2500)  3.81
Np (0.3750, 0.6250, 0.2500)  3.81
Np (0.6250, 0.3750, 0.7500)  3.81
Np (0.1250, 0.8750, 0.7500)  3.81
Np (0.7500, 0.8750, 0.6250)  3.81
Np (0.6250, 0.2500, 0.3750)  3.81
Np (0.1250, 0.2500, 0.8750)  3.81
Np (0.2500, 0.6250, 0.8750)  3.81
Sc (0.1250, 0.3750, 0.2500)  0.09
Sc (0.0000, 0.5000, 0.0000)  0.05
Sc (0.0000, 0.0000, 0.0000)  0.05
Sc (0.3750, 0.2500, 0.1250)  0.09
Sc (0.5000, 0.0000, 0.5000)  0.05
Sc (0.5000, 0.5000, 0.0000)  0.05
Sc (0.1250, 0.7500, 0.3750)  0.09
Sc (0.7500, 0.1250, 0.8750)  0.09
Sc (0.7500, 0.6250, 0.3750)  0.09
Sc (0.3750, 0.1250, 0.7500)  0.09
Sc (0.6250, 0.8750, 0.2500)  0.09
Sc (0.5000, 0.5000, 0.5000)  0.05
Sc (0.5000, 0.0000, 0.0000)  0.05
Sc (0.0000, 0.0000, 0.5000)  0.05
Sc (0.2500, 0.3750, 0.6250)  0.09
Sc (0.2500, 0.8750, 0.1250)  0.09
Sc (0.0000, 0.5000, 0.5000)  0.05
Sc (0.8750, 0.2500, 0.6250)  0.09
Sc (0.6250, 0.7500, 0.8750)  0.09
Sc (0.8750, 0.6250, 0.7500)  0.09
O (0.7109, 0.1254, 0.0343)  -0.03
O (0.3233, 0.5343, 0.4089)  -0.03
O (0.9657, 0.3746, 0.2891)  -0.03
O (0.5343, 0.2109, 0.1254)  -0.03
O (0.5855, 0.7109, 0.6767)  -0.03
O (0.9657, 0.5911, 0.1767)  -0.03
O (0.3233, 0.7891, 0.4145)  -0.03
O (0.0911, 0.9145, 0.1254)  -0.03
O (0.5911, 0.9657, 0.6767)  -0.03
O (0.7109, 0.5855, 0.1767)  -0.03
O (0.7891, 0.4657, 0.3746)  -0.03
O (0.8233, 0.9089, 0.0343)  -0.03
O (0.1254, 0.7109, 0.5343)  -0.03
O (0.3746, 0.4089, 0.0855)  -0.03
O (0.0855, 0.9089, 0.3746)  -0.03
O (0.4145, 0.1254, 0.5911)  -0.03
O (0.0855, 0.1767, 0.2109)  -0.03
O (0.4657, 0.6767, 0.0911)  -0.03
O (0.8233, 0.9145, 0.2891)  -0.03
O (0.1254, 0.4145, 0.0911)  -0.03
O (0.3746, 0.9657, 0.7891)  -0.03
O (0.5911, 0.6254, 0.4145)  -0.03
O (0.9089, 0.8233, 0.5343)  -0.03
O (0.7891, 0.3233, 0.9145)  -0.03
O (0.4089, 0.3746, 0.5855)  -0.03
O (0.0911, 0.1767, 0.4657)  -0.03
O (0.2109, 0.6767, 0.0855)  -0.03
O (0.1767, 0.0855, 0.7109)  -0.03
O (0.6254, 0.0343, 0.2109)  -0.03
O (0.8746, 0.5855, 0.9089)  -0.03
O (0.5343, 0.3233, 0.9089)  -0.03
O (0.5855, 0.8746, 0.4089)  -0.03
O (0.9145, 0.8233, 0.7891)  -0.03
O (0.9145, 0.0911, 0.6254)  -0.03
O (0.8746, 0.2891, 0.4657)  -0.03
O (0.1767, 0.0911, 0.9657)  -0.03
O (0.6254, 0.5911, 0.9145)  -0.03
O (0.4089, 0.0343, 0.3233)  -0.03
O (0.2891, 0.4145, 0.8233)  -0.03
O (0.2109, 0.5343, 0.6254)  -0.03
O (0.9089, 0.0855, 0.8746)  -0.03
O (0.6767, 0.2109, 0.5855)  -0.03
O (0.4657, 0.7891, 0.8746)  -0.03
O (0.0343, 0.4089, 0.8233)  -0.03
O (0.4145, 0.2891, 0.3233)  -0.03
O (0.0343, 0.6254, 0.7109)  -0.03
O (0.6767, 0.4657, 0.5911)  -0.03
O (0.2891, 0.8746, 0.9657)  -0.03

(7)
## NpScO6 (PBE)

Data for a relaxed NpScO6 crystal.

Output
For the raw total energy, the calculation gives -8.10 eV per atom. The space group is C2/m, No. 12. Its uncorrected formation energy is -1.968 eV/atom. The density of states at the Fermi level comes out at 6.26 states/eV/f.u.

Unit cell a=5.9001 b=5.0302 c=5.0302 alpha=80.46 beta=107.33 gamma=72.67
Last column: magnetic moment on the atom in μB.
Positions (direct):
Np (0.0000, 0.0207, 0.0207)  -0.05
Sc (0.5000, 0.0208, 0.0208)  -0.01
O (0.9001, 0.7753, 0.2662)  0.04
O (0.0999, 0.2662, 0.7753)  0.04
O (0.2918, 0.0559, 0.3069)  0.04
O (0.2918, 0.7346, 0.9856)  0.04
O (0.7082, 0.9856, 0.7346)  0.04
O (0.7082, 0.3069, 0.0559)  0.04

(8)
## NpScO4 (PBE)

Data for a relaxed NpScO4 crystal.

Output
For the raw total energy, the calculation gives -9.66 eV per atom. The space group is I4_1/amd, No. 141. Its uncorrected formation energy is -3.139 eV/atom. The density of states at the Fermi level comes out at 6.66 states/eV/f.u.

Unit cell a=5.1852 b=5.1852 c=6.3779 alpha=113.99 beta=113.99 gamma=90.00
Last column: magnetic moment on the atom in μB.
Positions (direct):
Np (0.2500, 0.7500, 0.5000)  2.25
Np (0.5000, 0.5000, 0.0000)  2.25
Sc (0.0000, 0.0000, 0.0000)  0.01
Sc (0.7500, 0.2500, 0.5000)  0.01
O (0.1249, 0.1250, 0.7500)  -0.07
O (0.8750, 0.8751, 0.2500)  -0.07
O (0.1249, 0.6250, 0.7500)  -0.07
O (0.3750, 0.3749, 0.2500)  -0.07
O (0.6251, 0.1250, 0.7500)  -0.07
O (0.6251, 0.6250, 0.7500)  -0.07
O (0.3750, 0.8751, 0.2500)  -0.07
O (0.8750, 0.3749, 0.2500)  -0.07

(9)
## NpSc2O6 (PBE)

Data for a relaxed NpSc2O6 crystal.

Output
For the raw total energy, the calculation gives -9.36 eV per atom. The space group is P4_2/mnm, No. 136. Its uncorrected formation energy is -3.211 eV/atom.

Unit cell a=4.8994 b=4.8994 c=9.7970 alpha=90.00 beta=90.00 gamma=90.00
Last column: magnetic moment on the atom in μB.
Positions (direct):
Np (0.0000, 0.0000, 0.0000)  1.22
Np (0.5000, 0.5000, 0.5000)  1.22
Sc (0.0000, 0.0000, 0.3355)  -0.01
Sc (0.5000, 0.5000, 0.8355)  -0.01
Sc (0.5000, 0.5000, 0.1645)  -0.01
Sc (0.0000, 0.0000, 0.6645)  -0.01
O (0.3095, 0.3095, 0.3372)  -0.04
O (0.6905, 0.6905, 0.3372)  -0.04
O (0.1905, 0.8095, 0.8372)  -0.04
O (0.8095, 0.1905, 0.8372)  -0.04
O (0.1905, 0.8095, 0.1628)  -0.04
O (0.8095, 0.1905, 0.1628)  -0.04
O (0.3095, 0.3095, 0.6628)  -0.04
O (0.6905, 0.6905, 0.6628)  -0.04
O (0.3032, 0.3032, 0.0000)  -0.03
O (0.6968, 0.6968, 0.0000)  -0.03
O (0.1968, 0.8032, 0.5000)  -0.03
O (0.8032, 0.1968, 0.5000)  -0.03